An optimized crystal structure of Li3CrP2O8. Source: Alexandria, functional PBE+U.

## Properties
Density of states at the Fermi level (states/eV/atom): 0.0000
Polymorph energy (0 for the lowest one) (meV per atom): 6.6
E_tot (eV for the cell shown): -190.9
Symmetry: C2/c

a b c (Å): 5.154 5.154 13.212
angles (deg): 82.93 82.93 54.64
Last column: magnetic moment on the atom in μB.
Fractional positions:
Li1 0.703 0.631 0.349  0.00
Li2 0.945 0.055 0.750  0.00
Li3 0.055 0.945 0.250  0.00
Li4 0.631 0.703 0.849  0.00
Li5 0.369 0.297 0.151  0.00
Li6 0.297 0.369 0.651  0.00
Cr1 0.000 0.000 0.000  2.95
Cr2 0.000 0.000 0.500  2.95
P1 0.638 0.682 0.613  0.00
P2 0.362 0.318 0.387  0.00
P3 0.682 0.638 0.113  0.00
P4 0.318 0.362 0.887  0.00
O1 0.815 0.504 0.711  0.00
O2 0.175 0.730 0.870  -0.02
O3 0.825 0.270 0.130  -0.02
O4 0.453 0.776 0.026  0.00
O5 0.270 0.825 0.630  -0.02
O6 0.776 0.453 0.526  0.00
O7 0.730 0.175 0.370  -0.02
O8 0.333 0.032 0.415  -0.01
O9 0.504 0.815 0.211  0.00
O10 0.032 0.333 0.915  -0.01
O11 0.968 0.667 0.085  -0.01
O12 0.185 0.496 0.289  0.00
O13 0.667 0.968 0.585  -0.01
O14 0.496 0.185 0.789  0.00
O15 0.224 0.547 0.474  0.00
O16 0.547 0.224 0.974  0.00